[1]
Computed, not measured: a relaxed structure of As2PdSeBr at the PBE level of DFT.

Geometry as POSCAR:
```
As2PdSeBr
1.0
5.067 0.000 0.000
0.000 5.067 0.000
0.000 0.000 5.072
As Pd Se Br
2 1 1 1
direct
0.000 0.500 0.000 As
0.500 0.000 0.000 As
0.000 0.000 0.500 Pd
0.500 0.500 0.500 Se
0.500 0.500 0.000 Br
```

Calculated values
ΔE_f (raw): 1.296 eV per atom
Final energy: -13.17 eV/cell

[2]
Computed, not measured: a relaxed structure of SrMgSi2 at the PBE level of DFT.

Geometry as POSCAR:
```
SrMgSi2
1.0
-2.484 2.484 8.846
2.484 -2.484 8.846
2.484 2.484 -8.846
Sr Mg Si
2 2 4
direct
0.000 0.000 0.000 Sr
0.750 0.250 0.500 Sr
0.250 0.750 0.500 Mg
0.500 0.500 0.000 Mg
0.297 0.625 0.172 Si
0.375 0.547 0.672 Si
0.453 0.125 0.828 Si
0.875 0.703 0.328 Si
```

Calculated values
ΔE_f (raw): 0.053 eV per atom
Final energy: -27.82 eV/cell